No. 1
This record from the Alexandria database describes BeTeIN2 after structural relaxation. The functional is PBE.

abc: 3.899 3.899 7.810
angles: 90.00 90.00 90.00
Space group P4/mmm (No. 123)
One atom of each set of equivalent atoms:
Be  0.000  0.000  0.000 (multiplicity 1)
Te  0.500  0.500  0.000 (multiplicity 1)
I  0.500  0.500  0.500 (multiplicity 1)
N  0.000  0.500  0.500 (multiplicity 2)

Output
For the relative energy among the computed polymorphs, the calculation gives 31.9 kJ/mol of atoms. The value obtained for the uncorrected formation energy is 1.881 eV/atom. The calculated density comes out at 4.08 g/cm³.


No. 2
This record from the Alexandria database describes Ni2TeAs after structural relaxation. The functional is PBE.

abc: 3.120 3.268 6.296
angles: 90.00 90.00 90.00
Space group Pmmm (No. 47)
One atom of each set of equivalent atoms:
Ni  0.000  0.000  0.207 (multiplicity 2)
Te  0.500  0.500  0.500 (multiplicity 1)
As  0.500  0.500  0.000 (multiplicity 1)

Output
The value obtained for the uncorrected formation energy is 0.128 eV/atom. The calculated density comes out at 8.27 g/cm³.


No. 3
This record from the Alexandria database describes NdSmEr2 after structural relaxation. The functional is PBE.

abc: 3.587 3.587 10.088
angles: 90.00 90.00 90.00
Space group P4/mmm (No. 123)
One atom of each set of equivalent atoms:
Nd  0.000  0.000  0.000 (multiplicity 1)
Sm  0.000  0.000  0.500 (multiplicity 1)
Er  0.500  0.500  0.252 (multiplicity 2)

Output
For the relative energy among the computed polymorphs, the calculation gives 0.6 kJ/mol of atoms. For the formation energy, the calculation gives 0.022 eV per atom. The calculated density comes out at 8.05 g/cm³.


No. 4
This record from the Alexandria database describes La4Te3O2 after structural relaxation. The functional is PBE.

abc: 13.806 10.653 6.903
angles: 90.00 93.18 90.00
Space group C2/c (No. 15)
One atom of each set of equivalent atoms:
La  0.124  0.189  0.030 (multiplicity 8)
La  0.168  0.431  0.589 (multiplicity 8)
Te  0.000  0.397  0.250 (multiplicity 4)
Te  0.116  0.128  0.544 (multiplicity 8)
O  0.209  0.373  0.919 (multiplicity 8)

Output
For the relative energy among the computed polymorphs, the calculation gives 3.8 kJ/mol of atoms. The value obtained for the uncorrected formation energy is -2.263 eV/atom. The calculated density comes out at 6.36 g/cm³.


No. 5
This record from the Alexandria database describes Rb3Zn5Hg12 after structural relaxation. The functional is PBE.

abc: 17.891 17.891 17.891
angles: 90.00 90.00 90.00
Space group Ia-3d (No. 230)
One atom of each set of equivalent atoms:
Rb  0.000  0.250  0.125 (multiplicity 24)
Zn  0.000  0.000  0.000 (multiplicity 16)
Zn  0.000  0.250  0.375 (multiplicity 24)
Hg  0.058  0.124  0.931 (multiplicity 96)

Output
For the formation energy, the calculation gives 0.000 eV per atom. The calculated density comes out at 6.94 g/cm³.


No. 6
This record from the Alexandria database describes ScRh3Se after structural relaxation. The functional is PBE.

abc: 4.675 4.675 4.675
angles: 90.00 90.00 90.00
Space group Pm-3m (No. 221)
One atom of each set of equivalent atoms:
Sc  0.000  0.000  0.000 (multiplicity 1)
Rh  0.000  0.000  0.500 (multiplicity 3)
Se  0.500  0.500  0.500 (multiplicity 1)

Output
For the relative energy among the computed polymorphs, the calculation gives 87.9 kJ/mol of atoms. The value obtained for the uncorrected formation energy is 0.893 eV/atom. The calculated density comes out at 7.03 g/cm³.


- Which value of calculated density does entry 6 give?
  7.03 g/cm³


- The lowest calculated density belongs to which entry?
  BeTeIN2


What did the first record say?
This record from the Alexandria database describes BeTeIN2 after structural relaxation. The functional is PBE.

abc: 3.899 3.899 7.810
angles: 90.00 90.00 90.00
Space group P4/mmm (No. 123)
One atom of each set of equivalent atoms:
Be  0.000  0.000  0.000 (multiplicity 1)
Te  0.500  0.500  0.000 (multiplicity 1)
I  0.500  0.500  0.500 (multiplicity 1)
N  0.000  0.500  0.500 (multiplicity 2)

Output
For the relative energy among the computed polymorphs, the calculation gives 31.9 kJ/mol of atoms. The value obtained for the uncorrected formation energy is 1.881 eV/atom. The calculated density comes out at 4.08 g/cm³.


- What is the calculated density in the third record?
  8.05 g/cm³